# Sc4Cd2In5 (PBE, relaxed)
data_Sc4Cd2In5
_space_group_name_H-M_alt 'P 1'
_space_group_IT_number 1
_cell_length_a 3.235
_cell_length_b 7.778
_cell_length_c 10.043
_cell_angle_alpha 94.98
_cell_angle_beta 90.00
_cell_angle_gamma 90.00
loop_
_space_group_symop_operation_xyz
'x,y,z'
loop_
_atom_site_label
_atom_site_type_symbol
_atom_site_fract_x
_atom_site_fract_y
_atom_site_fract_z
Sc1 Sc 0.500 0.285 0.440
Sc2 Sc 0.500 0.830 0.107
Sc3 Sc 0.500 0.715 0.560
Sc4 Sc 0.500 0.170 0.893
In1 In 0.000 0.500 0.000
In2 In 0.000 0.565 0.304
In3 In 0.000 0.818 0.837
In4 In 0.000 0.435 0.696
In5 In 0.000 0.182 0.163
Cd1 Cd 0.000 0.937 0.366
Cd2 Cd 0.000 0.063 0.634
# ΔH_f (0 K)	-3.5	eV per formula unit